A geometry-optimized Al3Cu2Ni3 structure, computed with PBE.

abc: 4.6687 6.2295 7.4803
angles: 102.66 102.82 97.40
Space group P-1 (No. 2)
Inequivalent atoms, fractional coordinates:
Al 0.0664 0.4246 0.3159 x2
Al 0.2083 0.9205 0.4340 x2
Al 0.2881 0.0296 0.1137 x2
Cu 0.0520 0.3225 0.9173 x2
Cu 0.4511 0.3152 0.7118 x2
Ni 0.1781 0.9613 0.7680 x2
Ni 0.4036 0.6674 0.9411 x2
Ni 0.4296 0.6723 0.6002 x2

Properties
For the energy relative to the lowest polymorph listed for this composition, the calculation gives 0.065 eV per atom. The energy of formation from the pure elements comes out at -338 meV/atom.

=====

A geometry-optimized Pm8NiGe2 structure, computed with PBE.

abc: 18.9703 4.7672 7.0063
angles: 90.00 102.22 90.00
Space group C2/m (No. 12)
Inequivalent atoms, fractional coordinates:
Pm 0.0168 0.0000 0.2853 x4
Pm 0.0946 0.5000 0.9857 x4
Pm 0.1526 0.5000 0.5011 x4
Pm 0.2164 0.0000 0.8311 x4
Ni 0.0000 0.5000 0.5000 x2
Ge 0.1819 0.0000 0.2533 x4

Properties
The energy of formation from the pure elements comes out at -339 meV/atom.

=====

A geometry-optimized AcTb3Pm6Dy2 structure, computed with PBE.

abc: 6.3034 10.9158 12.0611
angles: 90.00 100.06 90.00
Space group C2/m (No. 12)
Inequivalent atoms, fractional coordinates:
Ac 0.0000 0.0000 0.0000 x2
Tb 0.0000 0.1672 0.5000 x4
Tb 0.0000 0.5000 0.5000 x2
Pm 0.2474 0.3318 0.7460 x8
Pm 0.2482 0.5000 0.2542 x4
Dy 0.0000 0.3334 0.0000 x4

Properties
The energy of formation from the pure elements comes out at 26 meV/atom.

=====

A geometry-optimized Zr5Ti3Tl3 structure, computed with PBE.

abc: 9.6999 9.6999 3.0899
angles: 90.00 90.00 120.00
Space group P-62m (No. 189)
Inequivalent atoms, fractional coordinates:
Zr 0.0000 0.3287 0.0000 x3
Zr 0.3333 0.6667 0.0000 x2
Ti 0.0000 0.8468 0.0000 x3
Tl 0.0000 0.5984 0.5000 x3

Properties
The energy of formation from the pure elements comes out at 411 meV/atom.

=====

A geometry-optimized Pr5Ho12Tm2 structure, computed with PBE.

abc: 6.1800 9.4527 10.7143
angles: 101.02 95.60 90.03
Space group P-1 (No. 2)
Inequivalent atoms, fractional coordinates:
Pr 0.0000 0.0000 0.0000 x1
Pr 0.1582 0.6312 0.9458 x2
Pr 0.2636 0.0531 0.5790 x2
Ho 0.0546 0.2132 0.3176 x2
Ho 0.1044 0.4218 0.6300 x2
Ho 0.2109 0.8397 0.2636 x2
Ho 0.3180 0.2631 0.8949 x2
Ho 0.3696 0.4731 0.2135 x2
Ho 0.4745 0.8936 0.8407 x2
Tm 0.4195 0.6809 0.5263 x2

Properties
For the energy relative to the lowest polymorph listed for this composition, the calculation gives 0.000 eV per atom. The energy of formation from the pure elements comes out at 23 meV/atom.

=====

A geometry-optimized KSb2Pd structure, computed with PBE.

abc: 6.7605 11.7969 6.4731
angles: 90.00 119.18 90.00
Space group C2/c (No. 15)
Inequivalent atoms, fractional coordinates:
K 0.0000 0.1082 0.2500 x4
Sb 0.1023 0.3817 0.0919 x8
Pd 0.0000 0.2282 0.7500 x4

Properties
For the energy relative to the lowest polymorph listed for this composition, the calculation gives 0.042 eV per atom. As for the uncorrected formation energy: -8.5 kcal/mol of atoms.

=====

A geometry-optimized Sc2TaTe structure, computed with PBE.

abc: 3.6622 3.6622 6.3460
angles: 90.00 90.00 90.00
Space group P4mm (No. 99)
Inequivalent atoms, fractional coordinates:
Sc 0.0000 0.0000 0.0000 x1
Sc 0.5000 0.5000 0.2700 x1
Ta 0.0000 0.0000 0.5235 x1
Te 0.5000 0.5000 0.7515 x1

Properties
For the energy relative to the lowest polymorph listed for this composition, the calculation gives 0.210 eV per atom. As for the uncorrected formation energy: -2.7 kcal/mol of atoms.

=====

A geometry-optimized Pm4Ho6Tm structure, computed with PBE.

abc: 10.9701 10.9701 3.5481
angles: 90.00 90.00 120.00
Space group P-6m2 (No. 187)
Inequivalent atoms, fractional coordinates:
Pm 0.0000 0.0000 0.0000 x1
Pm 0.5031 0.0063 0.5000 x3
Ho 0.1776 0.3552 0.0000 x3
Ho 0.3075 0.1538 0.5000 x3
Tm 0.6667 0.3333 0.0000 x1

Properties
The energy of formation from the pure elements comes out at 165 meV/atom.

=====

A geometry-optimized ZnSn2Pb structure, computed with PBE.

abc: 4.3911 4.3911 22.4343
angles: 90.00 90.00 90.00
Space group I-42d (No. 122)
Inequivalent atoms, fractional coordinates:
Zn 0.0000 0.0000 0.0000 x4
Sn 0.2378 0.2500 0.1250 x8
Pb 0.0000 0.0000 0.5000 x4

Properties
For the energy relative to the lowest polymorph listed for this composition, the calculation gives 0.049 eV per atom. The energy of formation from the pure elements comes out at 149 meV/atom.

=====

A geometry-optimized DyLuTlGa structure, computed with PBE.

abc: 7.3201 7.3201 7.3201
angles: 90.00 90.00 90.00
Space group F-43m (No. 216)
Inequivalent atoms, fractional coordinates:
Dy 0.0000 0.0000 0.0000 x4
Lu 0.0000 0.0000 0.5000 x4
Tl 0.2500 0.2500 0.7500 x4
Ga 0.2500 0.2500 0.2500 x4

Properties
The energy of formation from the pure elements comes out at -399 meV/atom.

=====

A geometry-optimized Co2Ag structure, computed with PBE.

abc: 2.6233 15.5738 4.0378
angles: 90.00 90.00 90.00
Space group Cmcm (No. 63)
Inequivalent atoms, fractional coordinates:
Co 0.0000 0.0453 0.2500 x4
Co 0.0000 0.4140 0.2500 x4
Ag 0.0000 0.2989 0.7500 x4

Properties
For the energy relative to the lowest polymorph listed for this composition, the calculation gives 0.002 eV per atom. The energy of formation from the pure elements comes out at 271 meV/atom.

=====

A geometry-optimized KTlMo2 structure, computed with PBE.

abc: 2.9872 2.9872 33.3091
angles: 90.00 90.00 120.00
Space group R-3m (No. 166, hexagonal axes)
Inequivalent atoms, fractional coordinates:
K 0.0000 0.0000 0.0000 x3
Tl 0.0000 0.0000 0.5000 x3
Mo 0.0000 0.0000 0.2398 x6

Properties
For the energy relative to the lowest polymorph listed for this composition, the calculation gives 0.657 eV per atom. The energy of formation from the pure elements comes out at 1245 meV/atom.

=====

A geometry-optimized SbPbCl6 structure, computed with PBE.

abc: 6.7910 6.7910 18.7159
angles: 90.00 90.00 120.00
Space group R-3 (No. 148, hexagonal axes)
Inequivalent atoms, fractional coordinates:
Sb 0.0000 0.0000 0.0000 x3
Pb 0.0000 0.0000 0.5000 x3
Cl 0.0084 0.3115 0.9218 x18

Properties
As for the uncorrected formation energy: -19.3 kcal/mol of atoms.

=====

A geometry-optimized TcAsRh structure, computed with PBE.

abc: 2.9118 2.9118 12.2327
angles: 90.00 90.00 120.00
Space group P-6m2 (No. 187)
Inequivalent atoms, fractional coordinates:
Tc 0.0000 0.0000 0.0000 x1
Tc 0.0000 0.0000 0.5000 x1
As 0.6667 0.3333 0.1571 x2
Rh 0.3333 0.6667 0.3316 x2

Properties
For the energy relative to the lowest polymorph listed for this composition, the calculation gives 0.017 eV per atom. The energy of formation from the pure elements comes out at -34 meV/atom.

=====

A geometry-optimized CsCu2O2 structure, computed with PBE.

abc: 4.0266 4.0266 11.3785
angles: 90.00 90.00 90.00
Space group I4/mmm (No. 139)
Inequivalent atoms, fractional coordinates:
Cs 0.0000 0.0000 0.0000 x2
Cu 0.0000 0.0000 0.2728 x4
O 0.0000 0.5000 0.2500 x4

Properties
For the energy relative to the lowest polymorph listed for this composition, the calculation gives 0.152 eV per atom. As for the uncorrected formation energy: -14.3 kcal/mol of atoms.

=====

A geometry-optimized Mg2CdBi structure, computed with PBE.

abc: 4.7120 4.7120 19.7515
angles: 90.00 90.00 90.00
Space group I-42d (No. 122)
Inequivalent atoms, fractional coordinates:
Mg 0.2218 0.2500 0.1250 x8
Cd 0.0000 0.0000 0.0000 x4
Bi 0.0000 0.0000 0.5000 x4

Properties
For the energy relative to the lowest polymorph listed for this composition, the calculation gives 0.133 eV per atom. The energy of formation from the pure elements comes out at 32 meV/atom.

=====

A geometry-optimized Mn2Hg2Pd3 structure, computed with PBE.

abc: 4.4318 4.4327 7.8409
angles: 106.21 90.18 119.82
Space group P-1 (No. 2)
Inequivalent atoms, fractional coordinates:
Mn 0.1210 0.2420 0.3635 x2
Hg 0.3698 0.7419 0.1115 x2
Pd 0.2396 0.4788 0.7184 x2
Pd 0.5000 0.0000 0.5000 x1

Properties
The energy of formation from the pure elements comes out at -108 meV/atom.

=====

A geometry-optimized Co3CuPt4 structure, computed with PBE.

abc: 8.7482 5.4437 4.5943
angles: 90.00 90.00 90.00
Space group Pmma (No. 51)
Inequivalent atoms, fractional coordinates:
Co 0.0000 0.0000 0.0000 x2
Co 0.2500 0.0000 0.3422 x2
Co 0.2500 0.5000 0.3435 x2
Cu 0.0000 0.5000 0.0000 x2
Pt 0.0000 0.2486 0.5000 x4
Pt 0.2500 0.2495 0.8589 x4

Properties
The energy of formation from the pure elements comes out at -77 meV/atom.

=====

A geometry-optimized Sm4HoS7 structure, computed with PBE.

abc: 13.1073 3.8848 11.7764
angles: 90.00 104.97 90.00
Space group Cm (No. 8)
Inequivalent atoms, fractional coordinates:
Sm 0.0000 0.0000 0.0000 x2
Sm 0.0876 0.5000 0.3856 x2
Sm 0.1894 0.0000 0.7676 x2
Sm 0.3880 0.5000 0.5747 x2
Ho 0.2764 0.5000 0.1547 x2
S 0.0482 0.5000 0.6276 x2
S 0.1308 0.5000 0.9324 x2
S 0.1535 0.0000 0.2237 x2
S 0.2278 0.0000 0.5249 x2
S 0.3474 0.5000 0.7917 x2
S 0.3850 0.0000 0.0792 x2
S 0.4282 0.5000 0.3569 x2

Properties
As for the uncorrected formation energy: -47.7 kcal/mol of atoms.

=====

A geometry-optimized Na3SrIn structure, computed with PBE.

abc: 5.9314 5.9314 5.9314
angles: 90.00 90.00 90.00
Space group Pm-3m (No. 221)
Inequivalent atoms, fractional coordinates:
Na 0.0000 0.0000 0.5000 x3
Sr 0.5000 0.5000 0.5000 x1
In 0.0000 0.0000 0.0000 x1

Properties
For the energy relative to the lowest polymorph listed for this composition, the calculation gives 0.186 eV per atom. The energy of formation from the pure elements comes out at 117 meV/atom.

=====

Going through the records in order, we get calculated volume values of 12.708 28.148 34.047 22.889 32.174 28.171 21.277 33.617 27.036 24.515 13.747 21.451 31.146 14.970 18.449 27.409 18.065 13.675 24.138 41.734 A^3/atom.
Going through the records in order, we get D(E_F) values of 7.291 20.344 31.992 15.982 26.320 6.930 5.139 16.294 7.707 7.066 11.883 17.299 15.921 5.427 2.306 6.021 3.109 19.565 2.555 4.316 states/eV per cell.
Going through the records in order, we get total magnetic moment values of 0.0 0.0 0.0 0.0 0.0 0.0 1.0 0.0 0.0 0.0 3.3 0.0 0.0 0.0 0.0 0.0 8.7 7.1 0.0 0.0 μB/f.u..